# UTlPdS3

A relaxed structure of UTlPdS3 (PBE, Alexandria).

Geometry as POSCAR:
```
UTlPdS3
1.0
4.003 0.000 0.000
0.000 8.696 0.649
0.000 -3.506 8.473
U Tl Pd S
2 2 2 6
Cartesian
1.001 5.339 1.816 U
3.002 -0.149 7.306 U
1.001 0.791 2.234 Tl
3.002 4.399 6.888 Tl
1.001 -1.111 4.939 Pd
3.002 6.301 4.183 Pd
3.002 7.094 1.742 S
1.001 -1.904 7.380 S
1.001 5.046 4.383 S
3.002 0.145 4.739 S
3.002 3.503 1.546 S
1.001 1.688 7.576 S
```

Summary:
* D(E_F): 0.8881 states/eV/atom
* total DFT energy (no corrections): -6.10 eV/atom
* E_form (uncorrected): -0.90 eV per atom
* total moment: 1.43 μB per formula unit